Entry 1:
## TlAg2SbS4 (PBE)

Data for a relaxed structure of TlAg2SbS4.

Computed properties:
Formation energy from raw total energies (meV per atom): -161

Unit cell a=6.8378 b=6.8378 c=9.0362 alpha=90.00 beta=90.00 gamma=90.00
Closest atoms and distances in Å follow each position.
Space group I-42m (No. 121)
Asymmetric unit:
1 Tl 0.0000 0.0000 0.0000 [2 per cell]  4 S 3.20
2 Ag 0.0000 0.5000 0.2500 [4 per cell]  4 S 2.62
3 Sb 0.0000 0.0000 0.5000 [2 per cell]  4 S 2.38
4 S 0.2011 0.2011 0.6524 [8 per cell]  1 Sb 2.38, 2 Ag 2.62


Entry 2:
## Tm3Ag3SbS8 (PBE)

Data for a relaxed structure of Tm3Ag3SbS8.

Computed properties:
D(E_F) (states/eV/atom): 0.0987
Formation energy from raw total energies (meV per atom): -1048

Unit cell a=13.3951 b=7.8503 c=7.7844 alpha=90.00 beta=124.64 gamma=90.00
Closest atoms and distances in Å follow each position.
Space group C2/m (No. 12)
Asymmetric unit:
1 Tm 0.0000 0.0000 0.0000 [2 per cell]  6 S 2.70-2.72
2 Tm 0.2500 0.2500 0.5000 [4 per cell]  6 S 2.70-2.72
3 Ag 0.0000 0.5000 0.5000 [2 per cell]  6 S 2.81
4 Ag 0.2500 0.2500 0.0000 [4 per cell]  6 S 2.79-2.83
5 Sb 0.0000 0.5000 0.0000 [2 per cell]  6 S 2.65
6 S 0.0033 0.2566 0.2387 [8 per cell]  1 Sb 2.65, 2 Tm 2.72, 2 Ag 2.79-2.81
7 S 0.2400 0.5000 0.2480 [4 per cell]  1 Sb 2.65, 2 Tm 2.72, 2 Ag 2.81
8 S 0.2449 0.0000 0.2565 [4 per cell]  3 Tm 2.70, 3 Ag 2.81-2.83


Entry 3:
## Tm3Ag4SbS8 (PBE)

Data for a relaxed structure of Tm3Ag4SbS8.

Computed properties:
Formation energy from raw total energies (meV per atom): -995

Unit cell a=13.2242 b=7.9494 c=7.7375 alpha=90.00 beta=123.34 gamma=90.00
Closest atoms and distances in Å follow each position.
Space group C2/m (No. 12)
Asymmetric unit:
1 Tm 0.0000 0.0000 0.0000 [2 per cell]  6 S 2.72-2.73
2 Tm 0.2500 0.2500 0.5000 [4 per cell]  6 S 2.72-2.73
3 Ag 0.0000 0.0000 0.5000 [2 per cell]  6 S 2.78-2.80
4 Ag 0.0000 0.5000 0.5000 [2 per cell]  6 S 2.81-2.82
5 Ag 0.2500 0.2500 0.0000 [4 per cell]  6 S 2.80-2.83
6 Sb 0.0000 0.5000 0.0000 [2 per cell]  6 S 2.75
7 S 0.0038 0.2477 0.2470 [8 per cell]  2 Tm 2.73, 1 Sb 2.75, 3 Ag 2.80-2.82
8 S 0.2455 0.0000 0.2559 [4 per cell]  3 Tm 2.72, 3 Ag 2.81-2.83
9 S 0.2485 0.5000 0.2575 [4 per cell]  2 Tm 2.73, 1 Sb 2.75, 3 Ag 2.78-2.82


Entry 4:
## UAgSbS (PBE)

Data for a relaxed structure of UAgSbS.

Computed properties:
D(E_F) (states/eV/atom): 1.8582
Formation energy from raw total energies (meV per atom): -594

Unit cell a=4.3534 b=4.3534 c=9.4326 alpha=90.00 beta=90.00 gamma=90.00
Closest atoms and distances in Å follow each position.
Space group P4/nmm (No. 129, origin choice 2)
Asymmetric unit:
1 U 0.2500 0.2500 0.1724 [2 per cell]  4 S 2.72
2 Ag 0.2500 0.7500 0.5000 [2 per cell]  4 Sb 2.87, 4 Ag 3.08
3 Sb 0.2500 0.2500 0.6988 [2 per cell]  4 Ag 2.87
4 S 0.2500 0.7500 0.0000 [2 per cell]  4 U 2.72